Computed, not measured: an optimized crystal structure of Na3NpNi3O8 at the GGA+U level of DFT.

The value obtained for the mass density is 5464 kg/m3. The final energy comes out at -5.962 eV per atom. The total magnetic moment is 0.402 μB per atom. Its density of states at the Fermi level is 10.151 states/eV/cell.

The space group is R-3m (No. 166, hexagonal axes) and the conventional cell measures 6.2041, 6.2041 and 16.6824 Å, with angles of 90.00, 90.00 and 120.00 degrees. The distinct sites, in fractional coordinates, are Na at (0.0000, 0.5000, 0.0000), Np at (0.0000, 0.0000, 0.5000), Ni at (0.0000, 0.5000, 0.5000), O at (0.0000, 0.0000, 0.2282) and O at (0.0195, 0.5098, 0.2350).